Record 1
A plane-wave DFT calculation with GGA-PBE was carried out for a geometry-optimized Tl2GeSe5 structure.

a = 8.478 Å, b = 8.478 Å, c = 8.478 Å
α = 137.95°, β = 137.95°, γ = 60.98°
Fractional coordinates of all 8 atoms:
Tl  0.000  0.500  0.500
Tl  0.500  0.000  0.500
Ge  0.256  0.256  0.000
Se  0.416  0.416  0.000
Se  0.451  0.451  0.541
Se  0.451  0.909  0.000
Se  0.909  0.451  0.000
Se  0.909  0.909  0.459

Computed properties:
The value obtained for the size of the total moment is 0.000 μB per atom. The total DFT energy (no corrections) is -3.425 eV/atom. The space group is I4mm, No. 107. As for the uncorrected formation energy: -79 meV/atom. The density of states at the Fermi level comes out at 0.6 states/eV/cell.


Record 2
A plane-wave DFT calculation with GGA-PBE was carried out for a geometry-optimized Ce2NpCuS5 structure.

a = 8.399 Å, b = 8.399 Å, c = 11.881 Å
α = 90.00°, β = 90.00°, γ = 153.17°
Fractional coordinates of all 18 atoms:
Ce  0.117  0.883  0.500
Ce  0.117  0.883  0.849
Ce  0.883  0.117  0.000
Ce  0.883  0.117  0.349
Np  0.183  0.817  0.180
Np  0.817  0.183  0.680
Cu  0.451  0.549  0.578
Cu  0.549  0.451  0.078
S  0.018  0.982  0.170
S  0.302  0.698  0.840
S  0.313  0.687  0.518
S  0.348  0.652  0.174
S  0.494  0.506  0.905
S  0.506  0.494  0.405
S  0.652  0.348  0.674
S  0.687  0.313  0.018
S  0.698  0.302  0.340
S  0.982  0.018  0.670

Computed properties:
The value obtained for the size of the total moment is 0.640 μB per atom. The total DFT energy (no corrections) is -7.050 eV/atom. The space group is Cmc2_1, No. 36. As for the uncorrected formation energy: -1546 meV/atom. The density of states at the Fermi level comes out at 39.9 states/eV/cell.


Record 3
A plane-wave DFT calculation with GGA-PBE was carried out for a geometry-optimized Tb3Ho3ScS8 structure.

a = 7.770 Å, b = 7.770 Å, c = 7.770 Å
α = 59.87°, β = 59.87°, γ = 59.87°
Fractional coordinates of all 15 atoms:
Tb  0.000  0.500  0.500
Tb  0.500  0.000  0.500
Tb  0.500  0.500  0.000
Ho  0.000  0.000  0.500
Ho  0.000  0.500  0.000
Ho  0.500  0.000  0.000
Sc  0.500  0.500  0.500
S  0.249  0.249  0.249
S  0.254  0.743  0.743
S  0.257  0.257  0.746
S  0.257  0.746  0.257
S  0.743  0.254  0.743
S  0.743  0.743  0.254
S  0.746  0.257  0.257
S  0.751  0.751  0.751

Computed properties:
The value obtained for the size of the total moment is 0.000 μB per atom. The total DFT energy (no corrections) is -6.503 eV/atom. The space group is R-3m, No. 166. As for the uncorrected formation energy: -2038 meV/atom. The density of states at the Fermi level comes out at 6.7 states/eV/cell.


Number 2 is which compound? Ce2NpCuS5


Among the records above, which one has the highest total DFT energy (no corrections)? Tl2GeSe5


size of the total moment of number 2 (Ce2NpCuS5)? 0.640 μB per atom


Which value of size of the total moment does entry 3 give? 0.000 μB per atom